DFT (PBE+U) results for PaMnBO5 after structural relaxation.

Total DFT energy (no corrections) ... -139.20 eV per cell

Cell and atoms, written as POSCAR:
```
PaMnBO5
1.0
5.425 0.283 -0.089
-1.313 5.271 -0.089
-1.789 -2.417 7.283
Pa Mn B O
2 2 2 10
Cartesian
-0.895 -1.208 3.642 Pa
0.000 0.000 0.000 Pa
0.634 2.894 1.732 Mn
1.688 0.243 5.374 Mn
2.792 1.297 1.732 B
-0.470 1.840 5.374 B
-0.982 4.090 1.732 O
3.304 -0.953 5.374 O
4.058 1.547 0.985 O
-1.736 1.590 6.121 O
2.922 0.012 2.479 O
-0.600 3.125 4.627 O
2.462 2.422 2.681 O
-0.140 0.715 4.425 O
1.620 1.284 0.784 O
0.703 1.853 6.322 O
```